Material: MgGe2W
Method: DFT, GGA-PBE
State: optimized geometry

```
data_MgGe2W
_chemical_formula_sum 'Mg3 Ge6 W3'
_space_group_name_H-M_alt 'R -3 m'
_space_group_IT_number 166
_space_group_name_Hall '-R 3 2"'
_cell_length_a 2.9837
_cell_length_b 2.9837
_cell_length_c 29.9836
_cell_angle_alpha 90.00
_cell_angle_beta 90.00
_cell_angle_gamma 120.00
loop_
_atom_site_label
_atom_site_type_symbol
_atom_site_fract_x
_atom_site_fract_y
_atom_site_fract_z
Mg1 Mg 0.0000 0.0000 0.0000
Ge1 Ge 0.0000 0.0000 0.0968
W1 W 0.0000 0.0000 0.5000
```

Results
E_form: 0.260 eV per atom
Uncorrected energy: -5.69 eV per atom
Magnetic moment: 0.0 Bohr magnetons per cell
D(E_F): 0.80 states/eV per atom



Material: Tl3P2
Method: DFT, GGA-PBE
State: optimized geometry

```
data_Tl3P2
_chemical_formula_sum 'Tl9 P6'
_space_group_name_H-M_alt 'R -3 m'
_space_group_IT_number 166
_space_group_name_Hall '-R 3 2"'
_cell_length_a 4.1146
_cell_length_b 4.1146
_cell_length_c 26.0417
_cell_angle_alpha 90.00
_cell_angle_beta 90.00
_cell_angle_gamma 120.00
loop_
_atom_site_label
_atom_site_type_symbol
_atom_site_fract_x
_atom_site_fract_y
_atom_site_fract_z
Tl1 Tl 0.0000 0.0000 0.0000
Tl2 Tl 0.0000 0.0000 0.2130
P1 P 0.0000 0.0000 0.3968
```

Results
E_form: 0.269 eV per atom
Energy above the most stable polymorph in this dataset: 0.0 kJ per mole of atoms
Uncorrected energy: -3.31 eV per atom
Magnetic moment: 0.0 Bohr magnetons per cell
D(E_F): 0.50 states/eV per atom